A relaxed structure of TaCrSb2, computed with PBE.

Summary:
formation energy from raw total energies: 1.42 eV per formula unit
offset from the most stable computed form: 0.2815 eV per atom

a = 3.6104 Å, b = 4.5998 Å, c = 9.5086 Å
α = 90.00°, β = 90.00°, γ = 90.00°
Space group Imm2 (No. 44)
Unique sites:
Ta1 0.0000 0.0000 0.0000 (multiplicity 2)
Cr1 0.0000 0.5000 0.7590 (multiplicity 2)
Sb1 0.0000 0.0000 0.4766 (multiplicity 2)
Sb2 0.0000 0.5000 0.2518 (multiplicity 2)

=====

A relaxed structure of YMg3Cu2, computed with PBE.

Summary:
energy of formation: -55 kJ/mol of formula units

a = 14.9268 Å, b = 3.8035 Å, c = 10.6619 Å
α = 90.00°, β = 123.17°, γ = 90.00°
Space group C2/m (No. 12)
Unique sites:
Y1 0.1417 0.0000 0.2267 (multiplicity 4)
Mg1 0.0744 0.5000 0.4370 (multiplicity 4)
Mg2 0.0762 0.5000 0.9205 (multiplicity 4)
Mg3 0.1465 0.0000 0.7332 (multiplicity 4)
Cu1 0.2262 0.0000 0.5509 (multiplicity 4)
Cu2 0.2267 0.0000 0.0453 (multiplicity 4)

=====

A relaxed structure of BaCr2Ni, computed with PBE.

Summary:
offset from the most stable computed form: 0.5322 eV per atom
energy of formation: 380 kJ/mol of formula units

a = 4.5966 Å, b = 5.8181 Å, c = 7.5935 Å
α = 90.00°, β = 90.00°, γ = 90.00°
Space group Imm2 (No. 44)
Unique sites:
Ba1 0.0000 0.0000 0.0000 (multiplicity 2)
Cr1 0.0000 0.0000 0.5430 (multiplicity 2)
Cr2 0.0000 0.5000 0.8201 (multiplicity 2)
Ni1 0.0000 0.5000 0.1603 (multiplicity 2)

=====

A relaxed structure of CaNClO2, computed with PBE.

Summary:
formation energy from raw total energies: -0.01 eV per formula unit

a = 3.9013 Å, b = 3.9013 Å, c = 4.0213 Å
α = 90.00°, β = 90.00°, γ = 90.00°
Space group P4/mmm (No. 123)
Unique sites:
Ca1 0.0000 0.0000 0.0000 (multiplicity 1)
N1 0.5000 0.5000 0.5000 (multiplicity 1)
Cl1 0.5000 0.5000 0.0000 (multiplicity 1)
O1 0.0000 0.5000 0.5000 (multiplicity 2)

=====

Number 1: D(E_F) 0.665 states/eV per atom. Number 2: D(E_F) 0.569 states/eV per atom. Number 3: D(E_F) 1.026 states/eV per atom. Number 4: D(E_F) 0.376 states/eV per atom.